[1]
Computed, not measured: crystalline LiCdRu2 at its relaxed geometry at the PBE-GGA level of DFT.

Output
- formation energy (kJ/mol of formula units) = 107

Unit cell a=2.9164 b=4.4109 c=9.2999 alpha=90.00 beta=90.00 gamma=90.00
Space group Immm (No. 71)
One atom of each set of equivalent atoms:
1 Li 0.0000 0.0000 0.0000 x2
2 Cd 0.0000 0.0000 0.5000 x2
3 Ru 0.0000 0.5000 0.2584 x4



[2]
Computed, not measured: crystalline Y2BeW at its relaxed geometry at the PBE-GGA level of DFT.

Output
- formation energy (kJ/mol of formula units) = 280

Unit cell a=3.2812 b=3.2812 c=27.7627 alpha=90.00 beta=90.00 gamma=120.00
Space group R-3m (No. 166, hexagonal axes)
One atom of each set of equivalent atoms:
1 Y 0.0000 0.0000 0.2452 x6
2 Be 0.0000 0.0000 0.5000 x3
3 W 0.0000 0.0000 0.0000 x3



[3]
Computed, not measured: crystalline PrDy4Y4 at its relaxed geometry at the PBE-GGA level of DFT.

Output
- formation energy (kJ/mol of formula units) = 19

Unit cell a=10.7281 b=10.7281 c=5.0497 alpha=90.00 beta=90.00 gamma=90.00
Space group I4/mmm (No. 139)
One atom of each set of equivalent atoms:
1 Pr 0.0000 0.0000 0.0000 x2
2 Dy 0.0000 0.3353 0.0000 x8
3 Y 0.1676 0.1676 0.5000 x8



[4]
Computed, not measured: crystalline RbAs12Au4 at its relaxed geometry at the PBE-GGA level of DFT.

Output
- formation energy (kJ/mol of formula units) = -62

Unit cell a=9.1716 b=9.1716 c=9.1716 alpha=90.00 beta=90.00 gamma=90.00
Space group Im-3 (No. 204)
One atom of each set of equivalent atoms:
1 Rb 0.0000 0.0000 0.0000 x2
2 As 0.0000 0.1396 0.3632 x24
3 Au 0.2500 0.2500 0.2500 x8